No. 1
DFT (GGA-PBE) results for an optimized crystal structure of La4Tb3Ho4.

Geometry as extended XYZ:
```
11
Lattice="3.548 0.000 -0.653 -0.856 8.257 -4.648 0.392 1.362 12.085" Properties=species:S:1:pos:R:3 pbc="T T T"
La 1.998 4.328 0.888
La 1.376 2.489 7.472
La 1.086 5.291 5.895
La 1.707 7.130 -0.689
Tb 2.720 8.470 4.810
Tb 0.364 1.149 1.974
Tb -0.428 4.128 -2.324
Ho 2.591 2.581 4.107
Ho 0.493 7.038 2.676
Ho 1.076 6.734 -4.118
Ho 1.616 1.522 -1.184
```

Properties
The value obtained for the distance to the lowest polymorph of the same formula is 0.00 eV/f.u. The density of states at the Fermi level comes out at 16.7 states/eV per cell. The calculation puts the formation enthalpy at 0 K at 123 meV/atom. Its volume is 34.5 Å³ per atom.

=====

No. 2
DFT (GGA-PBE) results for an optimized crystal structure of La2Tb15Ho2.

Geometry as extended XYZ:
```
19
Lattice="8.437 -0.580 2.274 1.592 8.305 2.274 -0.753 -0.580 8.705" Properties=species:S:1:pos:R:3 pbc="T T T"
La 8.193 6.312 11.707
La 1.083 0.834 1.547
Tb 0.796 4.153 1.137
Tb -0.376 -0.290 4.353
Tb 4.218 -0.290 1.137
Tb 2.042 -0.580 6.750
Tb 6.355 2.122 2.274
Tb 0.879 5.603 4.230
Tb 3.673 5.603 2.274
Tb -0.040 2.122 6.750
Tb 5.642 -0.580 4.230
Tb 4.207 6.580 6.011
Tb 3.101 2.389 9.044
Tb 7.436 2.389 6.011
Tb 5.069 0.566 7.243
Tb 6.175 4.757 4.209
Tb 1.840 4.757 7.243
Ho 6.231 4.801 8.904
Ho 3.044 2.345 4.350
```

Properties
The density of states at the Fermi level comes out at 31.7 states/eV per cell. The calculation puts the formation enthalpy at 0 K at 290 meV/atom. Its volume is 33.8 Å³ per atom.

=====

No. 3
DFT (GGA-PBE) results for an optimized crystal structure of La3Tb3Ho4.

Geometry as extended XYZ:
```
10
Lattice="-3.618 -0.047 0.756 1.675 -5.521 7.675 1.034 7.850 5.431" Properties=species:S:1:pos:R:3 pbc="T T T"
La 0.849 -2.773 3.889
La 2.183 -1.626 10.346
La -0.663 5.496 6.200
Tb -0.246 -3.206 7.660
Tb -0.922 0.723 4.668
Tb 0.015 1.528 9.200
Ho 1.434 -0.486 6.830
Ho 1.278 2.760 6.285
Ho 2.372 2.101 11.477
Ho 0.332 0.347 1.609
```

Properties
The density of states at the Fermi level comes out at 12.6 states/eV per cell. The calculation puts the formation enthalpy at 0 K at 86 meV/atom. Its volume is 34.1 Å³ per atom.

=====

No. 4
DFT (GGA-PBE) results for an optimized crystal structure of La6TbHo2.

Geometry as extended XYZ:
```
9
Lattice="-0.791 -2.584 2.464 3.471 1.024 -0.526 -2.777 19.394 19.445" Properties=species:S:1:pos:R:3 pbc="T T T"
La -1.851 15.943 18.837
La 0.847 8.225 8.896
La -0.107 14.888 15.576
La 1.431 4.150 4.810
La 0.477 10.812 11.490
La 0.334 0.688 3.543
Tb 2.051 -0.178 0.471
Ho -0.285 5.008 7.874
Ho -1.232 11.623 14.506
```

Properties
The value obtained for the distance to the lowest polymorph of the same formula is 0.00 eV/f.u. The density of states at the Fermi level comes out at 16.8 states/eV per cell. The calculation puts the formation enthalpy at 0 K at 56 meV/atom. Its volume is 35.5 Å³ per atom.

=====

No. 5
DFT (GGA-PBE) results for an optimized crystal structure of La8TbHo6.

Geometry as extended XYZ:
```
15
Lattice="6.683 0.000 0.000 0.000 8.182 -4.724 0.000 0.000 9.447" Properties=species:S:1:pos:R:3 pbc="T T T"
La 5.560 0.363 2.563
La 5.560 5.780 3.757
La 5.560 2.038 7.851
La 1.123 7.819 2.161
La 1.123 2.401 0.967
La 1.123 6.143 -3.128
La 5.883 2.727 4.724
La 0.799 5.454 0.000
Tb 3.341 0.000 0.000
Ho 4.353 5.409 -2.195
Ho 4.353 7.378 1.058
Ho 4.353 3.577 1.137
Ho 2.329 2.773 6.918
Ho 2.329 0.804 3.666
Ho 2.329 4.605 3.587
```

Properties
The density of states at the Fermi level comes out at 25.1 states/eV per cell. The calculation puts the formation enthalpy at 0 K at 166 meV/atom. Its volume is 34.4 Å³ per atom.

=====

No. 6
DFT (GGA-PBE) results for an optimized crystal structure of La4Tb2Ho5.

Geometry as extended XYZ:
```
11
Lattice="3.531 0.000 0.000 0.000 8.671 -1.673 -1.765 -5.636 13.306" Properties=species:S:1:pos:R:3 pbc="T T T"
La 1.765 2.928 5.049
La 0.000 6.006 -0.065
La 0.000 0.107 6.584
La 1.765 -2.972 11.698
Tb 1.765 3.159 1.532
Tb 0.000 -0.124 10.100
Ho 0.000 5.655 3.440
Ho 1.765 -2.620 8.192
Ho 0.000 0.471 3.071
Ho 1.765 0.000 0.000
Ho 1.765 2.564 8.561
```

Properties
The value obtained for the distance to the lowest polymorph of the same formula is 0.77 eV/f.u. The density of states at the Fermi level comes out at 18.8 states/eV per cell. The calculation puts the formation enthalpy at 0 K at 117 meV/atom. Its volume is 34.0 Å³ per atom.

=====

Question: volume of number 5 (La8TbHo6)?
Answer: 34.4 Å³ per atom